# 1
Compound: DyZrZnCd
Source: Alexandria
Functional: PBE-GGA
Structure: relaxed

Computed properties:
Total magnetization: 0.000 μB per formula unit
VASP energy: -0.298 Ry per atom
ΔE_f: -0.22 eV per atom
Density: 8.079 g/cm3
Distance to the lowest polymorph of the same formula: 0.0000 eV per atom
Crystal system: tetragonal

abc: 3.482 3.482 7.318
angles: 90.00 90.00 90.00
Space group P4mm (No. 99)
Symmetry-distinct sites (fractional):
Dy (0.000, 0.000, 0.000) (multiplicity 1)
Zr (0.000, 0.000, 0.536) (multiplicity 1)
Zn (0.500, 0.500, 0.747) (multiplicity 1)
Cd (0.500, 0.500, 0.283) (multiplicity 1)

***

# 2
Compound: Rb2ZrAg
Source: Alexandria
Functional: PBE-GGA
Structure: relaxed

Computed properties:
Total magnetization: 3.216 μB per formula unit
VASP energy: -0.160 Ry per atom
ΔE_f: 1.15 eV per atom
Density: 3.656 g/cm3
Distance to the lowest polymorph of the same formula: 0.2098 eV per atom
Crystal system: cubic

abc: 8.760 8.760 8.760
angles: 90.00 90.00 90.00
Space group Fm-3m (No. 225)
Symmetry-distinct sites (fractional):
Rb (0.250, 0.250, 0.250) (multiplicity 8)
Zr (0.000, 0.000, 0.000) (multiplicity 4)
Ag (0.000, 0.000, 0.500) (multiplicity 4)

***

# 3
Compound: Ga2CoH2
Source: Alexandria
Functional: PBE-GGA
Structure: relaxed

Computed properties:
Total magnetization: 0.000 μB per formula unit
VASP energy: -0.276 Ry per atom
Density: 7.008 g/cm3
Distance to the lowest polymorph of the same formula: 0.0581 eV per atom
Crystal system: tetragonal

abc: 2.769 2.769 12.384
angles: 90.00 90.00 90.00
Space group I4/mmm (No. 139)
Symmetry-distinct sites (fractional):
Ga (0.000, 0.000, 0.126) (multiplicity 4)
Co (0.000, 0.000, 0.500) (multiplicity 2)
H (0.000, 0.500, 0.250) (multiplicity 4)

***

# 4
Compound: InPbF
Source: Alexandria
Functional: PBE-GGA
Structure: relaxed

Computed properties:
Total magnetization: 0.000 μB per formula unit
VASP energy: -0.277 Ry per atom
Density: 7.647 g/cm3
Distance to the lowest polymorph of the same formula: 0.0000 eV per atom
Crystal system: orthorhombic
Formation energy without anion corrections: -1.0016 eV per atom

abc: 14.257 3.355 6.193
angles: 90.00 90.00 90.00
Space group Amm2 (No. 38)
Symmetry-distinct sites (fractional):
In (0.206, 0.000, 0.000) (multiplicity 4)
Pb (0.000, 0.000, 0.712) (multiplicity 2)
Pb (0.500, 0.000, 0.491) (multiplicity 2)
F (0.326, 0.000, 0.488) (multiplicity 4)

***

# 5
Compound: YMnNi5
Source: Alexandria
Functional: PBE-GGA
Structure: relaxed

Computed properties:
Total magnetization: 5.187 μB per formula unit
VASP energy: -0.486 Ry per atom
ΔE_f: -0.24 eV per atom
Density: 7.636 g/cm3
Crystal system: orthorhombic

abc: 7.902 4.824 9.978
angles: 90.00 90.00 90.00
Space group Pnma (No. 62)
Symmetry-distinct sites (fractional):
Y (0.247, 0.250, 0.059) (multiplicity 4)
Mn (0.141, 0.750, 0.857) (multiplicity 4)
Ni (0.051, 0.750, 0.095) (multiplicity 4)
Ni (0.066, 0.004, 0.308) (multiplicity 8)
Ni (0.097, 0.250, 0.517) (multiplicity 4)
Ni (0.187, 0.250, 0.751) (multiplicity 4)

***

# 6
Compound: Cs2SnI2
Source: Alexandria
Functional: PBE-GGA
Structure: relaxed

Computed properties:
Total magnetization: 2.000 μB per formula unit
VASP energy: -0.178 Ry per atom
Density: 4.005 g/cm3
Distance to the lowest polymorph of the same formula: 0.0000 eV per atom
Crystal system: tetragonal
Formation energy without anion corrections: -0.6591 eV per atom

abc: 10.713 10.713 4.612
angles: 90.00 90.00 90.00
Space group P4/mbm (No. 127)
Symmetry-distinct sites (fractional):
Cs (0.143, 0.357, 0.000) (multiplicity 4)
Sn (0.000, 0.000, 0.000) (multiplicity 2)
I (0.156, 0.656, 0.500) (multiplicity 4)